[1]
Below is a geometry-optimized NpTl5S5 structure, with properties calculated at the PBE-GGA level.

Results
crystal system = monoclinic
total moment = 0.182 μB per atom
E_form (uncorrected) = -606 kJ/mol of formula units
calculated density = 7.143 Mg/m³

Cell: 5.820 7.567 8.865 Å, 111.78 90.00 112.62°
Fractional coordinates of all 11 atoms:
1 S 0.867 0.733 0.703
2 S 0.848 0.697 0.099
3 S 0.133 0.267 0.297
4 S 0.500 0.000 0.000
5 S 0.152 0.303 0.901
6 Tl 0.000 0.000 0.500
7 Tl 0.351 0.701 0.197
8 Tl 0.300 0.599 0.699
9 Tl 0.700 0.401 0.301
10 Tl 0.649 0.299 0.803
11 Np 0.000 0.000 0.000

***

[2]
Below is a geometry-optimized NpTlS structure, with properties calculated at the PBE-GGA level.

Results
crystal system = trigonal
total moment = 0.000 μB per atom
E_form (uncorrected) = -133 kJ/mol of formula units
calculated density = 10.816 Mg/m³

Cell: 3.557 3.557 13.265 Å, 90.00 90.00 120.00°
Fractional coordinates of all 6 atoms:
1 S 0.667 0.333 0.191
2 S 0.333 0.667 0.809
3 Np 0.667 0.333 0.948
4 Np 0.333 0.667 0.052
5 Tl 0.000 0.000 0.624
6 Tl 0.000 0.000 0.376

***

[3]
Below is a geometry-optimized NpTlS3 structure, with properties calculated at the PBE-GGA level.

Results
crystal system = monoclinic
total moment = 0.400 μB per atom
energy above the lowest structure with this stoichiometry = 1.81 kJ per mole of atoms
E_form (uncorrected) = -401 kJ/mol of formula units
calculated density = 6.923 Mg/m³

Cell: 7.010 8.828 8.828 Å, 70.75 90.09 90.09°
Fractional coordinates of all 20 atoms:
1 Tl 0.250 0.342 0.658
2 Tl 0.750 0.158 0.842
3 Tl 0.750 0.658 0.342
4 Tl 0.250 0.842 0.158
5 S 0.711 0.940 0.565
6 S 0.410 0.433 0.312
7 S 0.093 0.937 0.811
8 S 0.910 0.312 0.433
9 S 0.593 0.811 0.937
10 S 0.090 0.688 0.567
11 S 0.211 0.565 0.940
12 S 0.907 0.063 0.189
13 S 0.590 0.567 0.688
14 S 0.407 0.189 0.063
15 S 0.289 0.060 0.435
16 S 0.789 0.435 0.060
17 Np 0.374 0.813 0.688
18 Np 0.626 0.187 0.312
19 Np 0.126 0.312 0.187
20 Np 0.874 0.688 0.813

***

[4]
Below is a geometry-optimized Np4TlS6 structure, with properties calculated at the PBE-GGA level.

Results
crystal system = orthorhombic
total moment = 0.051 μB per atom
energy above the lowest structure with this stoichiometry = 0.00 kJ per mole of atoms
E_form (uncorrected) = -1233 kJ/mol of formula units
calculated density = 8.368 Mg/m³

Cell: 3.961 6.857 20.527 Å, 90.00 90.00 106.79°
Fractional coordinates of all 22 atoms:
1 S 0.767 0.535 0.082
2 S 0.966 0.932 0.847
3 S 0.233 0.465 0.918
4 S 0.500 0.000 0.500
5 S 0.767 0.535 0.418
6 S 0.966 0.932 0.653
7 S 0.233 0.465 0.582
8 S 0.500 0.000 0.000
9 S 0.654 0.308 0.750
10 S 0.034 0.068 0.153
11 S 0.034 0.068 0.347
12 S 0.346 0.692 0.250
13 Np 0.865 0.730 0.539
14 Np 0.403 0.807 0.127
15 Np 0.135 0.270 0.039
16 Np 0.597 0.193 0.627
17 Np 0.403 0.807 0.373
18 Np 0.597 0.193 0.873
19 Np 0.135 0.270 0.461
20 Np 0.865 0.730 0.961
21 Tl 0.667 0.333 0.250
22 Tl 0.333 0.667 0.750

***

[5]
Below is a geometry-optimized TmNpTl2S4 structure, with properties calculated at the PBE-GGA level.

Results
crystal system = monoclinic
total moment = 0.500 μB per atom
E_form (uncorrected) = -957 kJ/mol of formula units
calculated density = 7.412 Mg/m³

Cell: 4.026 6.972 7.880 Å, 107.24 90.00 90.00°
Fractional coordinates of all 8 atoms:
1 S 0.000 0.265 0.805
2 S 0.500 0.226 0.195
3 S 0.000 0.735 0.195
4 S 0.500 0.774 0.805
5 Tm 0.000 0.000 0.000
6 Tl 0.500 0.000 0.500
7 Tl 0.000 0.500 0.500
8 Np 0.500 0.500 0.000

***

[6]
Below is a geometry-optimized TmNp2Tl3S6 structure, with properties calculated at the PBE-GGA level.

Results
crystal system = monoclinic
total moment = 0.667 μB per atom
E_form (uncorrected) = -1350 kJ/mol of formula units
calculated density = 7.561 Mg/m³

Cell: 6.982 6.982 7.883 Å, 98.48 98.48 119.98°
Fractional coordinates of all 12 atoms:
1 S 0.936 0.605 0.806
2 S 0.265 0.265 0.805
3 S 0.735 0.735 0.195
4 S 0.064 0.395 0.194
5 S 0.605 0.936 0.806
6 S 0.395 0.064 0.194
7 Tl 0.500 0.500 0.500
8 Tl 0.832 0.168 0.500
9 Tl 0.168 0.832 0.500
10 Tm 0.000 0.000 0.000
11 Np 0.333 0.667 0.000
12 Np 0.667 0.333 0.000